## Cd2NiF8 (PBE+U)

Data for Cd2NiF8 after structural relaxation.

Calculated values
As for the density of states at the Fermi level: 0.0 states/eV/cell. The total energy is -0.261 Ry per atom.

Unit cell a=4.4434 b=5.3599 c=7.0335 alpha=80.37 beta=73.55 gamma=81.00
Fractional positions:
Cd 0.1518 0.0442 0.2027
Cd 0.8482 0.9558 0.7973
Ni 0.0000 0.5000 0.5000
F 0.0642 0.5531 0.7318
F 0.2150 0.1837 0.5047
F 0.3095 0.9272 0.8961
F 0.3358 0.6535 0.3505
F 0.6642 0.3465 0.6495
F 0.6905 0.0728 0.1039
F 0.7850 0.8163 0.4953
F 0.9358 0.4469 0.2682

=====

## CdNiF2 (PBE+U)

Data for CdNiF2 after structural relaxation.

Calculated values
The calculation puts the energy above the most stable polymorph in this dataset at 0.4237 eV/atom. As for the density of states at the Fermi level: 0.7 states/eV/cell. The total energy is -0.212 Ry per atom.

Unit cell a=7.2578 b=7.2578 c=7.2578 alpha=25.98 beta=25.98 gamma=25.98
Fractional positions:
Cd 0.0000 0.0000 0.0000
Ni 0.5000 0.5000 0.5000
F 0.4072 0.4072 0.4072
F 0.5928 0.5928 0.5928

=====

## CdNiF2 (PBE+U)

Data for CdNiF2 after structural relaxation.

Calculated values
The calculation puts the energy above the most stable polymorph in this dataset at 0.9067 eV/atom. As for the density of states at the Fermi level: 12.3 states/eV/cell. The total energy is -0.177 Ry per atom.

Unit cell a=4.1632 b=4.1632 c=4.1632 alpha=60.00 beta=60.00 gamma=60.00
Fractional positions:
Cd 0.0000 0.0000 0.0000
Ni 0.5000 0.5000 0.5000
F 0.2500 0.2500 0.2500
F 0.7500 0.7500 0.7500